(1)
A plane-wave DFT calculation with SCAN was carried out for a PBEsol-optimized structure of NaFeSe3.

a = 4.780 Å, b = 4.780 Å, c = 4.780 Å
α = 90.00°, β = 90.00°, γ = 90.00°
Space group Pm-3m (No. 221)
Unique sites:
1 Na 0.000 0.000 0.000 x1
2 Fe 0.500 0.500 0.500 x1
3 Se 0.000 0.500 0.500 x3

Calculated values
Size of the total moment   4.0 Bohr magnetons per cell
Raw formation energy   -239 meV per atom

=====

(2)
A plane-wave DFT calculation with SCAN was carried out for a PBEsol-optimized structure of NaSr2TiFe.

a = 6.054 Å, b = 6.054 Å, c = 4.286 Å
α = 90.00°, β = 90.00°, γ = 90.00°
Space group P4/mmm (No. 123)
Unique sites:
1 Na 0.000 0.000 0.000 x1
2 Sr 0.000 0.500 0.500 x2
3 Ti 0.500 0.500 0.000 x1
4 Fe 0.500 0.500 0.500 x1

Calculated values
Formation energy   460 meV/atom
Size of the total moment   0.0 Bohr magnetons per cell

=====

(3)
A plane-wave DFT calculation with SCAN was carried out for a PBEsol-optimized structure of NaSrZr2Fe.

a = 4.787 Å, b = 4.787 Å, c = 5.922 Å
α = 90.00°, β = 90.00°, γ = 90.00°
Space group P4/mmm (No. 123)
Unique sites:
1 Na 0.000 0.000 0.000 x1
2 Sr 0.500 0.500 0.000 x1
3 Zr 0.000 0.500 0.500 x2
4 Fe 0.500 0.500 0.500 x1

Calculated values
Formation energy   509 meV/atom
Size of the total moment   0.0 Bohr magnetons per cell

=====

(4)
A plane-wave DFT calculation with SCAN was carried out for a PBEsol-optimized structure of NaTa3Fe.

a = 4.612 Å, b = 4.612 Å, c = 4.612 Å
α = 90.00°, β = 90.00°, γ = 90.00°
Space group Pm-3m (No. 221)
Unique sites:
1 Na 0.000 0.000 0.000 x1
2 Ta 0.000 0.500 0.500 x3
3 Fe 0.500 0.500 0.500 x1

Calculated values
Formation energy   1034 meV/atom
Size of the total moment   0.0 Bohr magnetons per cell

=====

(5)
A plane-wave DFT calculation with SCAN was carried out for a PBEsol-optimized structure of Na2TaFe.

a = 6.675 Å, b = 6.675 Å, c = 6.675 Å
α = 90.00°, β = 90.00°, γ = 90.00°
Space group Fm-3m (No. 225)
Unique sites:
1 Na 0.250 0.250 0.250 x8
2 Ta 0.000 0.000 0.000 x4
3 Fe 0.000 0.000 0.500 x4

Calculated values
Formation energy   1610 meV/atom
Size of the total moment   7.3 Bohr magnetons per cell

=====

(6)
A plane-wave DFT calculation with SCAN was carried out for a PBEsol-optimized structure of NaFeTe3.

a = 5.334 Å, b = 5.334 Å, c = 5.334 Å
α = 90.00°, β = 90.00°, γ = 90.00°
Space group Pm-3m (No. 221)
Unique sites:
1 Na 0.000 0.000 0.000 x1
2 Fe 0.500 0.500 0.500 x1
3 Te 0.000 0.000 0.500 x3

Calculated values
Size of the total moment   1.5 Bohr magnetons per cell
Raw formation energy   1016 meV per atom

=====

(7)
A plane-wave DFT calculation with SCAN was carried out for a PBEsol-optimized structure of NaTlFe3.

a = 4.432 Å, b = 4.432 Å, c = 4.432 Å
α = 90.00°, β = 90.00°, γ = 90.00°
Space group Pm-3m (No. 221)
Unique sites:
1 Na 0.000 0.000 0.000 x1
2 Tl 0.500 0.500 0.500 x1
3 Fe 0.000 0.000 0.500 x3

Calculated values
Formation energy   1669 meV/atom
Size of the total moment   8.6 Bohr magnetons per cell

=====

(8)
A plane-wave DFT calculation with SCAN was carried out for a PBEsol-optimized structure of Na3TlFe.

a = 5.406 Å, b = 5.406 Å, c = 5.406 Å
α = 90.00°, β = 90.00°, γ = 90.00°
Space group Pm-3m (No. 221)
Unique sites:
1 Na 0.000 0.000 0.500 x3
2 Tl 0.500 0.500 0.500 x1
3 Fe 0.000 0.000 0.000 x1

Calculated values
Formation energy   725 meV/atom
Size of the total moment   2.9 Bohr magnetons per cell